MnPd6Au: relaxed, PBE.

```
8
Lattice="3.953 0.000 0.000 0.000 3.953 0.000 0.000 0.000 7.963" Properties=species:S:1:pos:R:3 pbc="T T T"
Mn 0.000 0.000 3.981
Pd 1.977 1.977 0.000
Pd 1.977 1.977 3.981
Pd 1.977 0.000 2.055
Pd 1.977 0.000 5.908
Pd 0.000 1.977 2.055
Pd 0.000 1.977 5.908
Au 0.000 0.000 0.000
```

The energy above the most stable polymorph in this dataset is 0 meV per atom.

---

MnPd2Au6: relaxed, PBE.

```
9
Lattice="-2.063 3.172 -1.385 -5.135 -3.843 -1.151 0.578 0.628 6.437" Properties=species:S:1:pos:R:3 pbc="T T T"
Mn -3.599 -0.336 -1.268
Pd -2.327 2.896 4.237
Pd -4.293 -2.939 -0.336
Au -4.626 -1.461 3.545
Au -1.994 1.418 0.356
Au -5.507 -0.639 0.881
Au -2.725 -1.218 1.271
Au -1.112 0.595 3.019
Au -3.895 1.174 2.629
```

The energy above the most stable polymorph in this dataset is 0 meV per atom.

---

MnPd8Au2: relaxed, PBE.

```
11
Lattice="4.250 0.240 -0.156 -0.437 6.346 -2.187 0.227 0.360 6.713" Properties=species:S:1:pos:R:3 pbc="T T T"
Mn 2.125 0.120 -0.078
Pd -0.261 6.360 2.618
Pd -0.089 4.810 4.922
Pd 1.983 4.650 2.980
Pd 2.197 1.878 4.556
Pd 1.843 5.067 -0.186
Pd 2.057 2.295 1.390
Pd 4.129 2.135 -0.552
Pd 4.301 0.586 1.752
Au -0.188 4.102 1.150
Au -0.022 2.604 3.376
```

The energy above the most stable polymorph in this dataset is 0 meV per atom.

---

Mn2Pd5Au3: relaxed, PBE.

```
20
Lattice="-4.864 -2.011 0.114 0.587 -8.140 3.006 -3.974 3.123 7.078" Properties=species:S:1:pos:R:3 pbc="T T T"
Mn -0.314 -6.008 2.171
Mn -7.937 -1.020 8.027
Mn -5.934 0.858 5.074
Mn -2.317 -7.886 5.124
Pd -2.910 -3.011 5.070
Pd -5.341 -4.017 5.127
Pd -4.977 -4.758 7.587
Pd -5.705 -3.275 2.668
Pd -3.274 -2.270 2.611
Pd -2.545 -3.753 7.530
Pd -1.158 -3.910 3.151
Pd -7.092 -3.118 7.047
Pd -5.030 -1.359 4.493
Pd -3.220 -5.669 5.705
Au -1.216 -0.503 0.028
Au -3.648 -1.508 0.085
Au -5.123 -0.975 7.309
Au -3.127 -6.053 2.889
Au -5.214 -7.761 5.275
Au -3.037 0.733 4.922
```

---

MnPd15Au4: relaxed, PBE.

```
20
Lattice="3.983 0.000 0.000 0.000 3.983 0.000 0.000 0.000 20.068" Properties=species:S:1:pos:R:3 pbc="T T T"
Mn 0.000 0.000 0.000
Pd 1.991 1.991 0.000
Pd 1.991 1.991 3.946
Pd 1.991 1.991 8.018
Pd 1.991 1.991 12.051
Pd 1.991 1.991 16.122
Pd 1.991 0.000 1.916
Pd 1.991 0.000 5.985
Pd 1.991 0.000 10.034
Pd 1.991 0.000 14.083
Pd 1.991 0.000 18.152
Pd 0.000 1.991 1.916
Pd 0.000 1.991 5.985
Pd 0.000 1.991 10.034
Pd 0.000 1.991 14.083
Pd 0.000 1.991 18.152
Au 0.000 0.000 3.959
Au 0.000 0.000 8.005
Au 0.000 0.000 12.064
Au 0.000 0.000 16.109
```

---

Mn2Pd5Au4: relaxed, PBE.

```
11
Lattice="5.275 0.302 1.490 2.156 4.823 1.490 0.040 0.027 7.520" Properties=species:S:1:pos:R:3 pbc="T T T"
Mn 1.416 0.977 7.206
Mn 6.054 4.175 3.293
Pd 4.222 1.290 7.568
Pd 3.248 3.862 2.932
Pd 0.020 0.014 3.760
Pd 2.706 3.488 7.568
Pd 4.764 1.664 2.932
Au 2.598 1.792 5.019
Au 4.872 3.360 5.480
Au 5.369 3.703 8.210
Au 2.102 1.450 2.290
```

---

Mn2Pd2Au3: relaxed, PBE.

```
7
Lattice="5.455 0.000 0.613 0.000 2.746 0.000 -0.861 0.000 7.645" Properties=species:S:1:pos:R:3 pbc="T T T"
Mn 1.399 1.373 7.129
Mn 3.195 1.373 1.128
Pd 1.471 0.000 2.372
Pd 3.122 0.000 5.886
Au 0.471 0.000 4.919
Au 0.000 0.000 0.000
Au 4.122 0.000 3.338
```

The energy above the most stable polymorph in this dataset is 386 meV per atom.

---

Mn5Pd4Au: relaxed, PBE.

```
10
Lattice="-1.264 2.609 -1.502 1.393 -0.937 -2.800 -11.724 -7.579 -3.296" Properties=species:S:1:pos:R:3 pbc="T T T"
Mn -1.188 0.026 -2.503
Mn -3.482 -1.457 -3.148
Mn -5.797 -2.954 -3.799
Mn -8.113 -4.451 -4.450
Mn -10.407 -5.934 -5.095
Pd -2.373 -1.534 -0.667
Pd -4.700 -3.038 -1.321
Pd -7.024 -4.541 -1.974
Pd -9.350 -6.045 -2.628
Au 0.000 0.000 0.000
```

---

The following V values (in Å³/atom) correspond, in order, to the records above: 15.55 17.07 16.84 17.74 15.92 16.91 16.56 15.29.
The following size of the total moment values (in μB/cell) correspond, in order, to the records above: 4.98 4.60 5.12 19.01 6.31 9.47 1.21 4.00.
The following final energy values (in eV for the cell shown) correspond, in order, to the records above: -44.71 -40.24 -56.54 -105.58 -101.89 -57.92 -36.67 -71.74.